DFT (PBE-GGA) results for a relaxed Dy4Ga2H crystal.

Cell lengths 6.0906, 6.5935, 8.6546 Å; angles 90.00, 110.39, 90.00 degrees
Space group P2_1/m (No. 11)
One atom of each set of equivalent atoms:
Dy1 0.1757 0.2500 0.0803
Dy2 0.2583 0.5011 0.7346
Dy3 0.3001 0.7500 0.3740
Ga1 0.1914 0.2500 0.4264
Ga2 0.3495 0.7500 0.0427
H1 0.0678 0.2500 0.8049

Summary:
electronic total energy = -4.455 eV per atom
magnetic moment = 0.00 Bohr magnetons per cell